[1]
VASP calculation (meta-GGA SCAN) on a PBEsol-optimized structure of CoPtAu2.

Geometry as POSCAR:
```
CoPtAu2
1.0
1.3862 0.8003 9.0272
-1.3862 0.8003 9.0272
0.0000 -1.6006 9.0272
Co Pt Au
1 1 2
Cartesian
0.0000 0.0000 0.0000
0.0000 0.0000 20.0357
0.0000 0.0000 6.8874
0.0000 0.0000 13.4265
```

- DOS(E_F) (states/eV per cell) = 2.96
- calculated volume (A^3/atom) = 15.0
- total moment (μB per formula unit) = 2.18
- excess energy over the best structure of this formula in the dataset (meV/atom) = 56.6

[2]
VASP calculation (meta-GGA SCAN) on a PBEsol-optimized structure of CoPt2Au.

Geometry as POSCAR:
```
CoPt2Au
1.0
3.8643 0.0000 0.0000
0.0000 3.8643 0.0000
0.0000 0.0000 3.8800
Co Pt Au
1 2 1
Cartesian
0.0000 0.0000 0.0000
0.0000 1.9321 1.9400
1.9321 0.0000 1.9400
1.9321 1.9321 0.0000
```

- DOS(E_F) (states/eV per cell) = 2.38
- total DFT energy (no corrections) (eV/atom) = -56.7298
- calculated volume (A^3/atom) = 14.5
- total moment (μB per formula unit) = 2.78